DFT (PBE-GGA) results for a relaxed HoSi3NiIr crystal.

Lattice parameters (Å, degrees): 7.1824 7.1824 5.4799 90.00 90.00 129.29
With the nearest neighbours (Å) after each atom.
Fractional positions:
1 Ho 0.1907 0.8093 0.7500  2 Si 2.76, 1 Ni 3.08
2 Ho 0.8093 0.1907 0.2500  2 Si 2.76, 1 Ni 3.08
3 Si 0.2132 0.7868 0.2500  1 Ni 2.17, 1 Ir 2.26
4 Si 0.2851 0.2851 0.0000  2 Ni 2.31, 2 Ir 2.40
5 Si 0.2851 0.2851 0.5000  2 Ni 2.31, 2 Ir 2.40
6 Si 0.7149 0.7149 0.0000  2 Ni 2.31, 2 Ir 2.40
7 Si 0.7149 0.7149 0.5000  2 Ni 2.31, 2 Ir 2.40
8 Si 0.7868 0.2132 0.7500  1 Ni 2.17, 1 Ir 2.26
9 Ni 0.0463 0.9537 0.2500  5 Si 2.17-2.31
10 Ni 0.9537 0.0463 0.7500  5 Si 2.17-2.31
11 Ir 0.3869 0.6131 0.2500  5 Si 2.26-2.40
12 Ir 0.6131 0.3869 0.7500  5 Si 2.26-2.40

Properties
DOS(E_F)   2.15 states/eV/f.u.
ΔE_f (raw)   -2.884 eV/f.u.
SG   Cmcm, No. 63
E   -76.75 eV/cell

=====

DFT (PBE-GGA) results for a relaxed Ho2Si3Ni4Ir crystal.

Lattice parameters (Å, degrees): 3.8934 3.8934 9.9921 90.00 90.00 90.00
With the nearest neighbours (Å) after each atom.
Fractional positions:
1 Ho 0.0000 0.5000 0.2471  8 Ni 2.94-3.14, 6 Si 3.01-3.19, 2 Ir 3.19
2 Ho 0.5000 0.0000 0.7529  8 Ni 2.94-3.14, 6 Si 3.01-3.19, 2 Ir 3.19
3 Si 0.0000 0.5000 0.8759  5 Ni 2.27-2.31
4 Si 0.5000 0.0000 0.1241  5 Ni 2.27-2.31
5 Si 0.5000 0.5000 0.5000  4 Ni 2.45
6 Ni 0.0000 0.0000 0.0000  4 Si 2.31
7 Ni 0.0000 0.5000 0.6485  3 Si 2.27-2.45, 2 Ir 2.45
8 Ni 0.5000 0.0000 0.3515  3 Si 2.27-2.45, 2 Ir 2.45
9 Ni 0.5000 0.5000 0.0000  4 Si 2.31
10 Ir 0.0000 0.0000 0.5000  4 Ni 2.45

Properties
DOS(E_F)   9.17 states/eV/f.u.
ΔE_f (raw)   -7.148 eV/f.u.
SG   P-4m2, No. 115
E   -64.56 eV/cell

=====

DFT (PBE-GGA) results for a relaxed Ho2Si4Ni3Ir crystal.

Lattice parameters (Å, degrees): 3.9482 3.9482 9.7201 90.00 90.00 90.00
With the nearest neighbours (Å) after each atom.
Fractional positions:
1 Ho 0.0000 0.5000 0.2412  6 Ni 3.01-3.20, 8 Si 3.02-3.06, 2 Ir 3.20
2 Ho 0.5000 0.0000 0.7588  6 Ni 3.01-3.20, 8 Si 3.02-3.06, 2 Ir 3.20
3 Si 0.0000 0.0000 0.0000  4 Ni 2.31
4 Si 0.0000 0.5000 0.6401  3 Ni 2.29-2.40, 2 Ir 2.40
5 Si 0.5000 0.0000 0.3599  3 Ni 2.29-2.40, 2 Ir 2.40
6 Si 0.5000 0.5000 0.0000  4 Ni 2.31
7 Ni 0.0000 0.5000 0.8759  5 Si 2.29-2.31
8 Ni 0.5000 0.0000 0.1241  5 Si 2.29-2.31
9 Ni 0.5000 0.5000 0.5000  4 Si 2.40
10 Ir 0.0000 0.0000 0.5000  4 Si 2.40

Properties
DOS(E_F)   4.21 states/eV/f.u.
ΔE_f (raw)   -9.102 eV/f.u.
SG   P-4m2, No. 115
E   -66.15 eV/cell

=====

DFT (PBE-GGA) results for a relaxed Ho2Si3Ni12Ir crystal.

Lattice parameters (Å, degrees): 6.2587 6.2587 6.2587 85.03 85.03 85.03
With the nearest neighbours (Å) after each atom.
Fractional positions:
1 Ho 0.1872 0.1872 0.1872  9 Ni 2.54-2.84
2 Ho 0.8128 0.8128 0.8128  9 Ni 2.54-2.84
3 Si 0.0000 0.5000 0.5000  6 Ni 2.29-2.56
4 Si 0.5000 0.0000 0.5000  6 Ni 2.29-2.56
5 Si 0.5000 0.5000 0.0000  6 Ni 2.29-2.56
6 Ni 0.1051 0.1051 0.6127  2 Ni 2.32-2.53, 2 Si 2.56
7 Ni 0.1051 0.6127 0.1051  2 Ni 2.32-2.53, 2 Si 2.56
8 Ni 0.1992 0.6933 0.6933  1 Si 2.29, 3 Ni 2.32-2.51, 1 Ir 2.44, 1 Ho 2.54
9 Ni 0.3067 0.3067 0.8008  1 Si 2.29, 3 Ni 2.32-2.51, 1 Ir 2.44, 1 Ho 2.54
10 Ni 0.3067 0.8008 0.3067  1 Si 2.29, 3 Ni 2.32-2.51, 1 Ir 2.44, 1 Ho 2.54
11 Ni 0.3873 0.8949 0.8949  2 Ni 2.32-2.53, 2 Si 2.56
12 Ni 0.6127 0.1051 0.1051  2 Ni 2.32-2.53, 2 Si 2.56
13 Ni 0.6933 0.1992 0.6933  1 Si 2.29, 3 Ni 2.32-2.51, 1 Ir 2.44, 1 Ho 2.54
14 Ni 0.6933 0.6933 0.1992  1 Si 2.29, 3 Ni 2.32-2.51, 1 Ir 2.44, 1 Ho 2.54
15 Ni 0.8008 0.3067 0.3067  1 Si 2.29, 3 Ni 2.32-2.51, 1 Ir 2.44, 1 Ho 2.54
16 Ni 0.8949 0.3873 0.8949  2 Ni 2.32-2.53, 2 Si 2.56
17 Ni 0.8949 0.8949 0.3873  2 Ni 2.32-2.53, 2 Si 2.56
18 Ir 0.5000 0.5000 0.5000  6 Ni 2.44

Properties
DOS(E_F)   18.84 states/eV/f.u.
ΔE_f (raw)   -1.321 eV/f.u.
SG   R-3m, No. 166
E   -104.98 eV/cell

=====

DFT (PBE-GGA) results for a relaxed Ho2Si4NiIr3 crystal.

Lattice parameters (Å, degrees): 4.0661 4.0661 9.9580 90.00 90.00 90.00
With the nearest neighbours (Å) after each atom.
Fractional positions:
1 Ho 0.0000 0.5000 0.2480  6 Ir 3.10-3.23, 8 Si 3.12-3.20, 2 Ni 3.23
2 Ho 0.5000 0.0000 0.7520  6 Ir 3.10-3.23, 8 Si 3.12-3.20, 2 Ni 3.23
3 Si 0.0000 0.0000 0.0000  4 Ir 2.42
4 Si 0.0000 0.5000 0.6298  3 Ir 2.38-2.41, 2 Ni 2.41
5 Si 0.5000 0.0000 0.3702  3 Ir 2.38-2.41, 2 Ni 2.41
6 Si 0.5000 0.5000 0.0000  4 Ir 2.42
7 Ni 0.0000 0.0000 0.5000  4 Si 2.41
8 Ir 0.0000 0.5000 0.8689  5 Si 2.38-2.42
9 Ir 0.5000 0.0000 0.1311  5 Si 2.38-2.42
10 Ir 0.5000 0.5000 0.5000  4 Si 2.41

Properties
DOS(E_F)   6.33 states/eV/f.u.
ΔE_f (raw)   -9.672 eV/f.u.
SG   P-4m2, No. 115
E   -72.88 eV/cell

=====

DFT (PBE-GGA) results for a relaxed HoThNiIr crystal.

Lattice parameters (Å, degrees): 6.9670 6.9670 6.9670 90.00 90.00 90.00
With the nearest neighbours (Å) after each atom.
Fractional positions:
1 Ho 0.0000 0.0000 0.0000  4 Ni 3.02, 4 Ir 3.02
2 Ho 0.0000 0.5000 0.5000  4 Ni 3.02, 4 Ir 3.02
3 Ho 0.5000 0.0000 0.5000  4 Ni 3.02, 4 Ir 3.02
4 Ho 0.5000 0.5000 0.0000  4 Ni 3.02, 4 Ir 3.02
5 Th 0.0000 0.0000 0.5000  4 Ni 3.02, 4 Ir 3.02
6 Th 0.0000 0.5000 0.0000  4 Ni 3.02, 4 Ir 3.02
7 Th 0.5000 0.0000 0.0000  4 Ni 3.02, 4 Ir 3.02
8 Th 0.5000 0.5000 0.5000  4 Ni 3.02, 4 Ir 3.02
9 Ni 0.2500 0.2500 0.2500  4 Th 3.02, 4 Ho 3.02
10 Ni 0.2500 0.7500 0.7500  4 Th 3.02, 4 Ho 3.02
11 Ni 0.7500 0.2500 0.7500  4 Th 3.02, 4 Ho 3.02
12 Ni 0.7500 0.7500 0.2500  4 Th 3.02, 4 Ho 3.02
13 Ir 0.2500 0.2500 0.7500  4 Th 3.02, 4 Ho 3.02
14 Ir 0.2500 0.7500 0.2500  4 Th 3.02, 4 Ho 3.02
15 Ir 0.7500 0.2500 0.2500  4 Th 3.02, 4 Ho 3.02
16 Ir 0.7500 0.7500 0.7500  4 Th 3.02, 4 Ho 3.02

Properties
Distance to the lowest polymorph of the same formula   10.69 kJ per mole of atoms
Formation energy from the elements   -0.5963 eV/atom
DOS(E_F)   3.57 states/eV/f.u.
SG   F-43m, No. 216
E   -116.10 eV/cell

=====

DFT (PBE-GGA) results for a relaxed HoThNiIr crystal.

Lattice parameters (Å, degrees): 4.4221 3.7674 10.3422 90.00 90.00 90.00
With the nearest neighbours (Å) after each atom.
Fractional positions:
1 Ho 0.0000 0.0000 0.0000  3 Ni 2.88-2.97, 4 Ir 2.96
2 Ho 0.0000 0.5000 0.5000  3 Ni 2.88-2.97, 4 Ir 2.96
3 Th 0.5000 0.0000 0.7237  3 Ir 2.88-2.97, 4 Ni 2.96
4 Th 0.5000 0.5000 0.2237  3 Ir 2.88-2.97, 4 Ni 2.96
5 Ni 0.0000 0.0000 0.2786  2 Ir 2.81, 3 Ho 2.88-2.97, 4 Th 2.96
6 Ni 0.0000 0.5000 0.7786  2 Ir 2.81, 3 Ho 2.88-2.97, 4 Th 2.96
7 Ir 0.5000 0.0000 0.4455  2 Ni 2.81, 3 Th 2.88-2.97, 4 Ho 2.96
8 Ir 0.5000 0.5000 0.9455  2 Ni 2.81, 3 Th 2.88-2.97, 4 Ho 2.96

Properties
Distance to the lowest polymorph of the same formula   0.00 kJ per mole of atoms
Formation energy from the elements   -0.7071 eV/atom
DOS(E_F)   2.82 states/eV/f.u.
SG   Amm2, No. 38
E   -58.94 eV/cell

=====

DFT (PBE-GGA) results for a relaxed YHoNiIr crystal.

Lattice parameters (Å, degrees): 6.8116 6.8116 6.8116 90.00 90.00 90.00
With the nearest neighbours (Å) after each atom.
Fractional positions:
1 Y 0.0000 0.0000 0.0000  4 Ni 2.95, 4 Ir 2.95
2 Y 0.0000 0.5000 0.5000  4 Ni 2.95, 4 Ir 2.95
3 Y 0.5000 0.0000 0.5000  4 Ni 2.95, 4 Ir 2.95
4 Y 0.5000 0.5000 0.0000  4 Ni 2.95, 4 Ir 2.95
5 Ho 0.0000 0.0000 0.5000  4 Ni 2.95, 4 Ir 2.95
6 Ho 0.0000 0.5000 0.0000  4 Ni 2.95, 4 Ir 2.95
7 Ho 0.5000 0.0000 0.0000  4 Ni 2.95, 4 Ir 2.95
8 Ho 0.5000 0.5000 0.5000  4 Ni 2.95, 4 Ir 2.95
9 Ni 0.2500 0.2500 0.2500  4 Ho 2.95, 4 Y 2.95
10 Ni 0.2500 0.7500 0.7500  4 Ho 2.95, 4 Y 2.95
11 Ni 0.7500 0.2500 0.7500  4 Ho 2.95, 4 Y 2.95
12 Ni 0.7500 0.7500 0.2500  4 Ho 2.95, 4 Y 2.95
13 Ir 0.2500 0.2500 0.7500  4 Ho 2.95, 4 Y 2.95
14 Ir 0.2500 0.7500 0.2500  4 Ho 2.95, 4 Y 2.95
15 Ir 0.7500 0.2500 0.2500  4 Ho 2.95, 4 Y 2.95
16 Ir 0.7500 0.7500 0.7500  4 Ho 2.95, 4 Y 2.95

Properties
Formation energy from the elements   -0.6455 eV/atom
DOS(E_F)   1.99 states/eV/f.u.
SG   F-43m, No. 216
E   -113.06 eV/cell

=====

DFT (PBE-GGA) results for a relaxed HoZnNiIr crystal.

Lattice parameters (Å, degrees): 6.3967 6.3967 6.3967 90.00 90.00 90.00
With the nearest neighbours (Å) after each atom.
Fractional positions:
1 Ho 0.0000 0.0000 0.0000  4 Ni 2.77, 4 Ir 2.77
2 Ho 0.0000 0.5000 0.5000  4 Ni 2.77, 4 Ir 2.77
3 Ho 0.5000 0.0000 0.5000  4 Ni 2.77, 4 Ir 2.77
4 Ho 0.5000 0.5000 0.0000  4 Ni 2.77, 4 Ir 2.77
5 Zn 0.0000 0.0000 0.5000  4 Ni 2.77, 4 Ir 2.77
6 Zn 0.0000 0.5000 0.0000  4 Ni 2.77, 4 Ir 2.77
7 Zn 0.5000 0.0000 0.0000  4 Ni 2.77, 4 Ir 2.77
8 Zn 0.5000 0.5000 0.5000  4 Ni 2.77, 4 Ir 2.77
9 Ni 0.2500 0.2500 0.2500  4 Ho 2.77, 4 Zn 2.77
10 Ni 0.2500 0.7500 0.7500  4 Ho 2.77, 4 Zn 2.77
11 Ni 0.7500 0.2500 0.7500  4 Ho 2.77, 4 Zn 2.77
12 Ni 0.7500 0.7500 0.2500  4 Ho 2.77, 4 Zn 2.77
13 Ir 0.2500 0.2500 0.7500  4 Ho 2.77, 4 Zn 2.77
14 Ir 0.2500 0.7500 0.2500  4 Ho 2.77, 4 Zn 2.77
15 Ir 0.7500 0.2500 0.2500  4 Ho 2.77, 4 Zn 2.77
16 Ir 0.7500 0.7500 0.7500  4 Ho 2.77, 4 Zn 2.77

Properties
Formation energy from the elements   -0.3961 eV/atom
DOS(E_F)   1.32 states/eV/f.u.
SG   F-43m, No. 216
E   -88.31 eV/cell

=====

DFT (PBE-GGA) results for a relaxed Ho2Zn3Ni12Ir crystal.

Lattice parameters (Å, degrees): 11.8613 11.8613 11.8613 24.80 24.80 24.80
With the nearest neighbours (Å) after each atom.
Fractional positions:
1 Ho 0.1424 0.1424 0.1424  6 Ni 2.80, 3 Ir 3.06
2 Ho 0.8576 0.8576 0.8576  6 Ni 2.80, 3 Ir 3.06
3 Zn 0.0000 0.5000 0.5000  4 Ni 2.42, 4 Zn 2.55
4 Zn 0.5000 0.0000 0.5000  4 Ni 2.42, 4 Zn 2.55
5 Zn 0.5000 0.5000 0.0000  4 Ni 2.42, 4 Zn 2.55
6 Ni 0.1025 0.1025 0.6303  4 Ni 2.40-2.41, 2 Zn 2.42
7 Ni 0.1025 0.6303 0.1025  4 Ni 2.40-2.41, 2 Zn 2.42
8 Ni 0.1089 0.6089 0.6089  6 Ni 2.40-2.55, 1 Ir 2.48
9 Ni 0.3697 0.8975 0.8975  4 Ni 2.40-2.41, 2 Zn 2.42
10 Ni 0.3911 0.3911 0.8911  6 Ni 2.40-2.55, 1 Ir 2.48
11 Ni 0.3911 0.8911 0.3911  6 Ni 2.40-2.55, 1 Ir 2.48
12 Ni 0.6089 0.1088 0.6089  6 Ni 2.40-2.55, 1 Ir 2.48
13 Ni 0.6089 0.6089 0.1089  6 Ni 2.40-2.55, 1 Ir 2.48
14 Ni 0.6303 0.1025 0.1025  4 Ni 2.40-2.41, 2 Zn 2.42
15 Ni 0.8911 0.3911 0.3911  6 Ni 2.40-2.55, 1 Ir 2.48
16 Ni 0.8975 0.3697 0.8975  4 Ni 2.40-2.41, 2 Zn 2.42
17 Ni 0.8975 0.8975 0.3697  4 Ni 2.40-2.41, 2 Zn 2.42
18 Ir 0.5000 0.5000 0.5000  6 Ni 2.48

Properties
Formation energy from the elements   -0.0051 eV/atom
DOS(E_F)   27.37 states/eV/f.u.
SG   R-3m, No. 166
E   -91.31 eV/cell

=====

DFT (PBE-GGA) results for a relaxed HoZrNiIr crystal.

Lattice parameters (Å, degrees): 6.6640 6.6640 6.6640 90.00 90.00 90.00
With the nearest neighbours (Å) after each atom.
Fractional positions:
1 Ho 0.0000 0.0000 0.0000  4 Ni 2.89, 4 Ir 2.89
2 Ho 0.0000 0.5000 0.5000  4 Ni 2.89, 4 Ir 2.89
3 Ho 0.5000 0.0000 0.5000  4 Ni 2.89, 4 Ir 2.89
4 Ho 0.5000 0.5000 0.0000  4 Ni 2.89, 4 Ir 2.89
5 Zr 0.0000 0.0000 0.5000  4 Ir 2.89, 4 Ni 2.89
6 Zr 0.0000 0.5000 0.0000  4 Ir 2.89, 4 Ni 2.89
7 Zr 0.5000 0.0000 0.0000  4 Ir 2.89, 4 Ni 2.89
8 Zr 0.5000 0.5000 0.5000  4 Ir 2.89, 4 Ni 2.89
9 Ni 0.2500 0.2500 0.7500  4 Zr 2.89, 4 Ho 2.89
10 Ni 0.2500 0.7500 0.2500  4 Zr 2.89, 4 Ho 2.89
11 Ni 0.7500 0.2500 0.2500  4 Zr 2.89, 4 Ho 2.89
12 Ni 0.7500 0.7500 0.7500  4 Ho 2.89, 4 Zr 2.89
13 Ir 0.2500 0.2500 0.2500  4 Zr 2.89, 4 Ho 2.89
14 Ir 0.2500 0.7500 0.7500  4 Zr 2.89, 4 Ho 2.89
15 Ir 0.7500 0.2500 0.7500  4 Zr 2.89, 4 Ho 2.89
16 Ir 0.7500 0.7500 0.2500  4 Zr 2.89, 4 Ho 2.89

Properties
Formation energy from the elements   -0.5994 eV/atom
DOS(E_F)   4.81 states/eV/f.u.
SG   F-43m, No. 216
E   -120.66 eV/cell

=====

DFT (PBE-GGA) results for a relaxed HoNpIr2 crystal.

Lattice parameters (Å, degrees): 6.8315 6.8315 6.8315 90.00 90.00 90.00
With the nearest neighbours (Å) after each atom.
Fractional positions:
1 Ho 0.0000 0.0000 0.0000  8 Ir 2.96
2 Ho 0.0000 0.5000 0.5000  8 Ir 2.96
3 Ho 0.5000 0.0000 0.5000  8 Ir 2.96
4 Ho 0.5000 0.5000 0.0000  8 Ir 2.96
5 Np 0.0000 0.0000 0.5000  8 Ir 2.96
6 Np 0.0000 0.5000 0.0000  8 Ir 2.96
7 Np 0.5000 0.0000 0.0000  8 Ir 2.96
8 Np 0.5000 0.5000 0.5000  8 Ir 2.96
9 Ir 0.2500 0.2500 0.2500  4 Ho 2.96, 4 Np 2.96
10 Ir 0.2500 0.2500 0.7500  4 Ho 2.96, 4 Np 2.96
11 Ir 0.2500 0.7500 0.2500  4 Ho 2.96, 4 Np 2.96
12 Ir 0.2500 0.7500 0.7500  4 Ho 2.96, 4 Np 2.96
13 Ir 0.7500 0.2500 0.2500  4 Ho 2.96, 4 Np 2.96
14 Ir 0.7500 0.2500 0.7500  4 Ho 2.96, 4 Np 2.96
15 Ir 0.7500 0.7500 0.2500  4 Ho 2.96, 4 Np 2.96
16 Ir 0.7500 0.7500 0.7500  4 Ho 2.96, 4 Np 2.96

Properties
Distance to the lowest polymorph of the same formula   0.68 kJ per mole of atoms
Formation energy from the elements   -0.5186 eV/atom
DOS(E_F)   5.57 states/eV/f.u.
SG   Fm-3m, No. 225
E   -149.26 eV/cell

=====

Which of these has the lowest E?
HoNpIr2

=====

Among the records above, which one has the lowest E?
HoNpIr2

=====

What is the formula in the fifth record?
Ho2Si4NiIr3